# 1
DFT (PBE) results for a relaxed HoNbGe crystal.

- total energy (eV/cell) = -67.37

Cell lengths 6.7893, 6.7893, 6.7893 Å; angles 90.00, 90.00, 90.00 degrees
Closest atoms and distances in Å follow each position.
Atoms (fractional coordinates):
Ho 0.0000 0.0000 0.0000  4 Ge 2.94, 4 Nb 2.94
Ho 0.0000 0.5000 0.5000  4 Ge 2.94, 4 Nb 2.94
Ho 0.5000 0.0000 0.5000  4 Ge 2.94, 4 Nb 2.94
Ho 0.5000 0.5000 0.0000  4 Ge 2.94, 4 Nb 2.94
Nb 0.2500 0.2500 0.2500  4 Ho 2.94
Nb 0.2500 0.7500 0.7500  4 Ho 2.94
Nb 0.7500 0.2500 0.7500  4 Ho 2.94
Nb 0.7500 0.7500 0.2500  4 Ho 2.94
Ge 0.2500 0.2500 0.7500  4 Ho 2.94
Ge 0.2500 0.7500 0.2500  4 Ho 2.94
Ge 0.7500 0.2500 0.2500  4 Ho 2.94
Ge 0.7500 0.7500 0.7500  4 Ho 2.94

---

# 2
DFT (PBE) results for a relaxed Ho2Nb3Ge4 crystal.

- total energy (eV/cell) = -258.50

Cell lengths 6.9989, 13.5459, 7.1756 Å; angles 90.00, 90.00, 90.00 degrees
Closest atoms and distances in Å follow each position.
Atoms (fractional coordinates):
Ho 0.0033 0.0948 0.1739  7 Ge 2.85-3.07
Ho 0.0033 0.4052 0.1739  7 Ge 2.85-3.07
Ho 0.4967 0.5948 0.6739  7 Ge 2.85-3.07
Ho 0.4967 0.9052 0.6739  7 Ge 2.85-3.07
Ho 0.5033 0.0948 0.3261  7 Ge 2.85-3.07
Ho 0.5033 0.4052 0.3261  7 Ge 2.85-3.07
Ho 0.9967 0.5948 0.8261  7 Ge 2.85-3.07
Ho 0.9967 0.9052 0.8261  7 Ge 2.85-3.07
Nb 0.1597 0.6266 0.3286  6 Ge 2.64-2.80
Nb 0.1597 0.8734 0.3286  6 Ge 2.64-2.80
Nb 0.1648 0.2500 0.5117  6 Ge 2.74-2.85, 2 Nb 3.04
Nb 0.3352 0.7500 0.0117  6 Ge 2.74-2.85, 2 Nb 3.04
Nb 0.3403 0.1266 0.8286  6 Ge 2.64-2.80
Nb 0.3403 0.3734 0.8286  6 Ge 2.64-2.80
Nb 0.6597 0.6266 0.1714  6 Ge 2.64-2.80
Nb 0.6597 0.8734 0.1714  6 Ge 2.64-2.80
Nb 0.6648 0.2500 0.9883  6 Ge 2.74-2.85, 2 Nb 3.04
Nb 0.8352 0.7500 0.4883  6 Ge 2.74-2.85, 2 Nb 3.04
Nb 0.8403 0.1266 0.6714  6 Ge 2.64-2.80
Nb 0.8403 0.3734 0.6714  6 Ge 2.64-2.80
Ge 0.0395 0.2500 0.8796  1 Ge 2.63, 6 Nb 2.64-2.78
Ge 0.1748 0.0415 0.5383  4 Nb 2.65-2.83, 1 Ge 2.75, 1 Ho 2.85
Ge 0.1748 0.4585 0.5383  4 Nb 2.65-2.83, 1 Ge 2.75, 1 Ho 2.85
Ge 0.1946 0.7500 0.6392  1 Ge 2.63, 4 Nb 2.74-2.85, 2 Ho 2.85
Ge 0.3054 0.2500 0.1392  1 Ge 2.63, 4 Nb 2.74-2.85, 2 Ho 2.85
Ge 0.3252 0.5415 0.0383  4 Nb 2.65-2.83, 1 Ge 2.75, 1 Ho 2.85
Ge 0.3252 0.9585 0.0383  4 Nb 2.65-2.83, 1 Ge 2.75, 1 Ho 2.85
Ge 0.4605 0.7500 0.3796  1 Ge 2.63, 6 Nb 2.64-2.78
Ge 0.5395 0.2500 0.6204  1 Ge 2.63, 6 Nb 2.64-2.78
Ge 0.6748 0.0415 0.9617  4 Nb 2.65-2.83, 1 Ge 2.75, 1 Ho 2.85
Ge 0.6748 0.4585 0.9617  4 Nb 2.65-2.83, 1 Ge 2.75, 1 Ho 2.85
Ge 0.6946 0.7500 0.8608  1 Ge 2.63, 4 Nb 2.74-2.85, 2 Ho 2.85
Ge 0.8054 0.2500 0.3608  1 Ge 2.63, 4 Nb 2.74-2.85, 2 Ho 2.85
Ge 0.8252 0.5415 0.4617  4 Nb 2.65-2.83, 1 Ge 2.75, 1 Ho 2.85
Ge 0.8252 0.9585 0.4617  4 Nb 2.65-2.83, 1 Ge 2.75, 1 Ho 2.85
Ge 0.9605 0.7500 0.1204  1 Ge 2.63, 6 Nb 2.64-2.78

---

# 3
DFT (PBE) results for a relaxed HoNbGe crystal.

- total energy (eV/cell) = -78.21

Cell lengths 6.4933, 6.4933, 6.4933 Å; angles 90.00, 90.00, 90.00 degrees
Closest atoms and distances in Å follow each position.
Atoms (fractional coordinates):
Ho 0.0000 0.0000 0.0000  4 Ge 2.81
Ho 0.0000 0.5000 0.5000  4 Ge 2.81
Ho 0.5000 0.0000 0.5000  4 Ge 2.81
Ho 0.5000 0.5000 0.0000  4 Ge 2.81
Nb 0.0000 0.0000 0.5000  4 Ge 2.81
Nb 0.0000 0.5000 0.0000  4 Ge 2.81
Nb 0.5000 0.0000 0.0000  4 Ge 2.81
Nb 0.5000 0.5000 0.5000  4 Ge 2.81
Ge 0.2500 0.2500 0.2500  4 Nb 2.81, 4 Ho 2.81
Ge 0.2500 0.7500 0.7500  4 Nb 2.81, 4 Ho 2.81
Ge 0.7500 0.2500 0.7500  4 Nb 2.81, 4 Ho 2.81
Ge 0.7500 0.7500 0.2500  4 Nb 2.81, 4 Ho 2.81

---

# 4
DFT (PBE) results for a relaxed TbHoNb2Ge2 crystal.

- total energy (eV/cell) = -42.49

Cell lengths 4.0347, 4.0347, 7.8589 Å; angles 90.00, 90.00, 90.00 degrees
Closest atoms and distances in Å follow each position.
Atoms (fractional coordinates):
Tb 0.0000 0.0000 0.0000  5 Ge 2.97-3.15
Ho 0.5000 0.5000 0.7048  5 Ge 2.97-3.16
Nb 0.0000 0.5000 0.3531  4 Ge 2.80, 4 Nb 2.85
Nb 0.5000 0.0000 0.3531  4 Ge 2.80, 4 Nb 2.85
Ge 0.0000 0.0000 0.5998  4 Nb 2.80, 4 Ho 2.97
Ge 0.5000 0.5000 0.1064  4 Nb 2.80, 4 Tb 2.97

---

- Look up the total energy of the third one.
  -78.21 eV/cell